1.
Computed, not measured: PN2F after structural relaxation at the PBE-GGA level of DFT.

Computed properties:
**Density of states at the Fermi level**: 0.534 states/eV/atom
**E above lowest polymorph**: 1056.1 meV per atom
**Crystal system**: trigonal
**Formation energy from raw total energies**: 5.19 eV per formula unit
**Space group**: R-3m (166)

Cell lengths 3.889, 3.889, 3.889 Å; angles 68.63, 68.63, 68.63 degrees
Positions (direct):
N 0.824 0.824 0.824
N 0.176 0.176 0.176
P 0.000 0.000 0.000
F 0.500 0.500 0.500


2.
Computed, not measured: Mg3CrSi after structural relaxation at the PBE-GGA level of DFT.

Computed properties:
**Density of states at the Fermi level**: 0.735 states/eV/atom
**E above lowest polymorph**: 0.0 meV per atom
**Crystal system**: cubic
**Formation energy from raw total energies**: 3.03 eV per formula unit
**Space group**: Pm-3m (221)

Cell lengths 5.015, 5.015, 5.015 Å; angles 90.00, 90.00, 90.00 degrees
Positions (direct):
Mg 0.500 0.000 0.000
Mg 0.000 0.000 0.500
Mg 0.000 0.500 0.000
Si 0.000 0.000 0.000
Cr 0.500 0.500 0.500


3.
Computed, not measured: CrCuRe2 after structural relaxation at the PBE-GGA level of DFT.

Computed properties:
**Density of states at the Fermi level**: 0.631 states/eV/atom
**E above lowest polymorph**: 6.8 meV per atom
**Crystal system**: tetragonal
**Energy of formation**: 0.23 eV per atom
**Space group**: P4/mmm (123)

Cell lengths 3.788, 3.787, 3.744 Å; angles 90.00, 90.00, 90.00 degrees
Positions (direct):
Cr 0.500 0.000 0.500
Re 0.500 0.500 0.000
Re 0.000 0.000 0.000
Cu 0.000 0.500 0.500


4.
Computed, not measured: LaCdP2O8 after structural relaxation at the PBE-GGA level of DFT.

Computed properties:
**Density of states at the Fermi level**: 0.632 states/eV/atom
**Crystal system**: trigonal
**Formation energy from raw total energies**: -27.06 eV per formula unit
**Space group**: P-3m1 (164)

Cell lengths 5.262, 5.262, 7.402 Å; angles 90.00, 90.00, 120.00 degrees
Positions (direct):
O 0.656 0.828 0.726
O 0.667 0.333 0.000
O 0.172 0.344 0.726
O 0.333 0.667 0.000
O 0.172 0.828 0.726
O 0.344 0.172 0.274
O 0.828 0.656 0.274
O 0.828 0.172 0.274
P 0.667 0.333 0.209
P 0.333 0.667 0.791
Cd 0.000 0.000 0.500
La 0.000 0.000 0.000


5.
Computed, not measured: ZrCrRe2 after structural relaxation at the PBE-GGA level of DFT.

Computed properties:
**Density of states at the Fermi level**: 0.293 states/eV/atom
**E above lowest polymorph**: 76.2 meV per atom
**Crystal system**: cubic
**Energy of formation**: 0.06 eV per atom
**Space group**: Fm-3m (225)

Cell lengths 4.452, 4.452, 4.452 Å; angles 60.00, 60.00, 60.00 degrees
Positions (direct):
Zr 0.500 0.500 0.500
Cr 0.000 0.000 0.000
Re 0.250 0.250 0.250
Re 0.750 0.750 0.750